# AgAuN2O

A relaxed structure of AgAuN2O (GGA-PBEsol, Alexandria via LeMat-Bulk).

V: 66.55 Å³/cell
ΔE_f (raw): 1.71 eV per atom
E_tot: -0.3088 Ry per atom
Theoretical density: 8.704 g/cm³
Size of the total moment: 3.22 μB per cell

Cell lengths 3.941, 3.941, 4.284 Å; angles 90.00, 90.00, 90.00 degrees
Space group P4/mmm (No. 123)
Inequivalent atoms, fractional coordinates:
Ag1 0.000 0.000 0.000 [1 per cell]
Au1 0.500 0.500 0.500 [1 per cell]
N1 0.000 0.500 0.500 [2 per cell]
O1 0.500 0.500 0.000 [1 per cell]


# Ca3Al2N4

A relaxed structure of Ca3Al2N4 (GGA-PBEsol, Alexandria via LeMat-Bulk).

Energy relative to the lowest polymorph listed for this composition: 0 meV/atom
V: 974.03 Å³/cell
ΔE_f (raw): -1.26 eV per atom
E_tot: -0.4903 Ry per atom
Theoretical density: 3.140 g/cm³
Size of the total moment: 0.00 μB per cell

Cell lengths 5.794, 10.652, 15.782 Å; angles 90.00, 90.00, 90.00 degrees
Space group P2_12_12_1 (No. 19)
Inequivalent atoms, fractional coordinates:
Ca1 0.002 0.011 0.426 [4 per cell]
Ca2 0.032 0.509 0.680 [4 per cell]
Ca3 0.039 0.973 0.204 [4 per cell]
Ca4 0.208 0.758 0.562 [4 per cell]
Ca5 0.220 0.733 0.942 [4 per cell]
Ca6 0.239 0.736 0.333 [4 per cell]
Al1 0.006 0.018 0.631 [4 per cell]
Al2 0.016 0.992 0.007 [4 per cell]
Al3 0.238 0.244 0.628 [4 per cell]
Al4 0.243 0.749 0.749 [4 per cell]
N1 0.024 0.165 0.705 [4 per cell]
N2 0.026 0.207 0.329 [4 per cell]
N3 0.119 0.366 0.172 [4 per cell]
N4 0.120 0.374 0.566 [4 per cell]
N5 0.128 0.886 0.690 [4 per cell]
N6 0.131 0.128 0.942 [4 per cell]
N7 0.214 0.527 0.410 [4 per cell]
N8 0.221 0.096 0.554 [4 per cell]


# FeP3Ru

A relaxed structure of FeP3Ru (GGA-PBEsol, Alexandria via LeMat-Bulk).

V: 91.34 Å³/cell
E_tot: -0.4616 Ry per atom
Theoretical density: 4.542 g/cm³
Size of the total moment: 3.04 μB per cell
Energy of formation from the pure elements: 1.022 eV/atom

Cell lengths 4.504, 4.504, 4.504 Å; angles 90.00, 90.00, 90.00 degrees
Space group Pm-3m (No. 221)
Inequivalent atoms, fractional coordinates:
Fe1 0.000 0.000 0.000 [1 per cell]
P1 0.000 0.500 0.500 [3 per cell]
Ru1 0.500 0.500 0.500 [1 per cell]


# Si2PIr

A relaxed structure of Si2PIr (GGA-PBEsol, Alexandria via LeMat-Bulk).

V: 219.53 Å³/cell
ΔE_f (raw): 0.23 eV per atom
E_tot: -0.4813 Ry per atom
Theoretical density: 8.452 g/cm³
Size of the total moment: 0.00 μB per cell

Cell lengths 6.033, 6.033, 6.033 Å; angles 90.00, 90.00, 90.00 degrees
Space group Fm-3m (No. 225)
Inequivalent atoms, fractional coordinates:
Si1 0.250 0.250 0.250 [8 per cell]
P1 0.000 0.000 0.000 [4 per cell]
Ir1 0.000 0.000 0.500 [4 per cell]


# Na3CrPCO7

A relaxed structure of Na3CrPCO7 (GGA-PBEsol, Alexandria via LeMat-Bulk).

Energy relative to the lowest polymorph listed for this composition: 23 meV/atom
V: 309.93 Å³/cell
ΔE_f (raw): -1.87 eV per atom
E_tot: -0.5143 Ry per atom
Theoretical density: 2.957 g/cm³
Size of the total moment: 8.00 μB per cell

Cell lengths 5.318, 6.434, 9.065 Å; angles 90.00, 92.25, 90.00 degrees
Space group P2_1 (No. 4)
Inequivalent atoms, fractional coordinates:
Na1 0.002 0.000 0.003 [2 per cell]
Na2 0.445 0.738 0.180 [2 per cell]
Na3 0.497 0.014 0.490 [2 per cell]
Cr1 0.068 0.257 0.303 [2 per cell]
P1 0.002 0.256 0.638 [2 per cell]
C1 0.498 0.254 0.124 [2 per cell]
O1 0.081 0.565 0.269 [2 per cell]
O2 0.090 0.947 0.272 [2 per cell]
O3 0.146 0.754 0.513 [2 per cell]
O4 0.268 0.751 0.910 [2 per cell]
O5 0.287 0.259 0.620 [2 per cell]
O6 0.320 0.251 0.022 [2 per cell]
O7 0.439 0.260 0.261 [2 per cell]


# KHfCr3

A relaxed structure of KHfCr3 (GGA-PBEsol, Alexandria via LeMat-Bulk).

V: 93.90 Å³/cell
E_tot: -0.4468 Ry per atom
Theoretical density: 6.606 g/cm³
Size of the total moment: 9.90 μB per cell
Energy of formation from the pure elements: 2.394 eV/atom

Cell lengths 4.545, 4.545, 4.545 Å; angles 90.00, 90.00, 90.00 degrees
Space group Pm-3m (No. 221)
Inequivalent atoms, fractional coordinates:
K1 0.000 0.000 0.000 [1 per cell]
Hf1 0.500 0.500 0.500 [1 per cell]
Cr1 0.000 0.000 0.500 [3 per cell]


# AgPb2Br5

A relaxed structure of AgPb2Br5 (GGA-PBEsol, Alexandria via LeMat-Bulk).

V: 899.32 Å³/cell
ΔE_f (raw): -0.72 eV per atom
E_tot: -0.2428 Ry per atom
Theoretical density: 6.808 g/cm³
Size of the total moment: 0.00 μB per cell

Cell lengths 16.296, 7.026, 7.900 Å; angles 90.00, 96.07, 90.00 degrees
Space group C2/c (No. 15)
Inequivalent atoms, fractional coordinates:
Ag1 0.250 0.250 0.000 [4 per cell]
Pb1 0.103 0.231 0.569 [8 per cell]
Br1 0.000 0.073 0.250 [4 per cell]
Br2 0.086 0.377 0.926 [8 per cell]
Br3 0.222 0.082 0.318 [8 per cell]


# TiBiPd3

A relaxed structure of TiBiPd3 (GGA-PBEsol, Alexandria via LeMat-Bulk).

V: 118.99 Å³/cell
E_tot: -0.3833 Ry per atom
Theoretical density: 8.040 g/cm³
Size of the total moment: 1.93 μB per cell
Energy of formation from the pure elements: 0.882 eV/atom

Cell lengths 4.919, 4.919, 4.919 Å; angles 90.00, 90.00, 90.00 degrees
Space group Pm-3m (No. 221)
Inequivalent atoms, fractional coordinates:
Ti1 0.000 0.000 0.000 [1 per cell]
Bi1 0.500 0.500 0.500 [1 per cell]
Pd1 0.000 0.500 0.500 [3 per cell]


# Y3MnN

A relaxed structure of Y3MnN (GGA-PBEsol, Alexandria via LeMat-Bulk).

V: 105.67 Å³/cell
ΔE_f (raw): -0.53 eV per atom
E_tot: -0.6089 Ry per atom
Theoretical density: 5.275 g/cm³
Size of the total moment: 3.41 μB per cell

Cell lengths 4.728, 4.728, 4.728 Å; angles 90.00, 90.00, 90.00 degrees
Space group Pm-3m (No. 221)
Inequivalent atoms, fractional coordinates:
Y1 0.000 0.000 0.500 [3 per cell]
Mn1 0.500 0.500 0.500 [1 per cell]
N1 0.000 0.000 0.000 [1 per cell]


# Li2Co3TeO8

A relaxed structure of Li2Co3TeO8 (GGA-PBEsol, Alexandria via LeMat-Bulk).

Energy relative to the lowest polymorph listed for this composition: 64 meV/atom
V: 143.36 Å³/cell
ΔE_f (raw): -1.22 eV per atom
E_tot: -0.4710 Ry per atom
Theoretical density: 5.169 g/cm³
Size of the total moment: 0.61 μB per cell

Cell lengths 4.958, 5.756, 5.800 Å; angles 119.49, 92.02, 93.66 degrees
Space group P-1 (No. 2)
Inequivalent atoms, fractional coordinates:
Li1 0.000 0.000 0.000 [1 per cell]
Li2 0.000 0.000 0.500 [1 per cell]
Co1 0.500 0.000 0.000 [1 per cell]
Co2 0.500 0.000 0.500 [1 per cell]
Co3 0.500 0.500 0.000 [1 per cell]
Te1 0.500 0.500 0.500 [1 per cell]
O1 0.278 0.146 0.332 [2 per cell]
O2 0.300 0.656 0.314 [2 per cell]
O3 0.303 0.657 0.828 [2 per cell]
O4 0.307 0.142 0.815 [2 per cell]


# ZnMoRh2

A relaxed structure of ZnMoRh2 (GGA-PBEsol, Alexandria via LeMat-Bulk).

V: 55.30 Å³/cell
E_tot: -0.5477 Ry per atom
Theoretical density: 11.026 g/cm³
Size of the total moment: 0.00 μB per cell
Energy of formation from the pure elements: -0.046 eV/atom

Cell lengths 2.708, 2.708, 7.539 Å; angles 90.00, 90.00, 90.00 degrees
Space group P4mm (No. 99)
Inequivalent atoms, fractional coordinates:
Zn1 0.000 0.000 0.000 [1 per cell]
Mo1 0.500 0.500 0.264 [1 per cell]
Rh1 0.000 0.000 0.516 [1 per cell]
Rh2 0.500 0.500 0.769 [1 per cell]


# RbUCuSe3

A relaxed structure of RbUCuSe3 (GGA-PBEsol, Alexandria via LeMat-Bulk).

V: 634.63 Å³/cell
ΔE_f (raw): -0.98 eV per atom
E_tot: -0.4282 Ry per atom
Theoretical density: 6.530 g/cm³
Size of the total moment: 8.00 μB per cell

Cell lengths 4.021, 15.083, 10.463 Å; angles 90.00, 90.00, 90.00 degrees
Space group Cmcm (No. 63)
Inequivalent atoms, fractional coordinates:
Rb1 0.000 0.244 0.250 [4 per cell]
U1 0.000 0.500 0.000 [4 per cell]
Cu1 0.000 0.032 0.750 [4 per cell]
Se1 0.000 0.123 0.560 [8 per cell]
Se2 0.000 0.437 0.750 [4 per cell]